Ca6TmS8: relaxed, GGA-PBE.

Computed properties:
**DOS at the Fermi energy**: 0.57 states/eV/atom
**Space group**: No. 225
**Crystal system**: cubic
**Formation energy (no corrections)**: -1.99 eV per atom

a = 8.056 Å, b = 8.056 Å, c = 8.056 Å
α = 60.00°, β = 60.00°, γ = 60.00°
Positions (direct):
Ca1 0.000 0.500 0.500
Ca2 0.500 0.000 0.000
Ca3 0.500 0.500 0.000
Ca4 0.000 0.000 0.500
Ca5 0.000 0.500 0.000
Ca6 0.500 0.000 0.500
Tm1 0.000 0.000 0.000
S1 0.750 0.750 0.750
S2 0.250 0.250 0.250
S3 0.763 0.237 0.237
S4 0.237 0.763 0.763
S5 0.237 0.237 0.763
S6 0.763 0.763 0.237
S7 0.763 0.237 0.763
S8 0.237 0.763 0.237

=====

CaTm2S: relaxed, GGA-PBE.

Computed properties:
**DOS at the Fermi energy**: 0.82 states/eV/atom
**Space group**: No. 166
**Crystal system**: trigonal
**Formation energy (no corrections)**: -0.75 eV per atom

a = 3.672 Å, b = 3.672 Å, c = 10.171 Å
α = 79.60°, β = 79.60°, γ = 60.00°
Positions (direct):
Ca1 0.000 0.000 0.000
Tm1 0.113 0.113 0.661
Tm2 0.887 0.887 0.339
S1 0.500 0.500 0.500

=====

CaTm6S8: relaxed, GGA-PBE.

Computed properties:
**DOS at the Fermi energy**: 0.25 states/eV/atom
**Space group**: No. 225
**Crystal system**: cubic
**Formation energy (no corrections)**: -2.03 eV per atom

a = 7.693 Å, b = 7.693 Å, c = 7.693 Å
α = 60.00°, β = 60.00°, γ = 60.00°
Positions (direct):
Ca1 0.000 0.000 0.000
Tm1 0.000 0.500 0.500
Tm2 0.500 0.000 0.000
Tm3 0.500 0.500 0.000
Tm4 0.000 0.000 0.500
Tm5 0.000 0.500 0.000
Tm6 0.500 0.000 0.500
S1 0.750 0.750 0.750
S2 0.250 0.250 0.250
S3 0.746 0.254 0.254
S4 0.254 0.746 0.746
S5 0.254 0.254 0.746
S6 0.746 0.746 0.254
S7 0.746 0.254 0.746
S8 0.254 0.746 0.254

=====

CaTmS: relaxed, GGA-PBE.

Computed properties:
**DOS at the Fermi energy**: 0.64 states/eV/atom
**Space group**: No. 8
**Crystal system**: monoclinic
**Formation energy (no corrections)**: -0.70 eV per atom

a = 5.907 Å, b = 5.907 Å, c = 9.845 Å
α = 83.40°, β = 83.40°, γ = 53.43°
Positions (direct):
Ca1 0.896 0.896 0.843
Ca2 0.930 0.930 0.461
Tm1 0.574 0.574 0.653
Tm2 0.260 0.260 0.663
S1 0.192 0.192 0.426
S2 0.407 0.407 0.876

=====

Ca4Y3TmS8: relaxed, GGA-PBE.

Computed properties:
**DOS at the Fermi energy**: 0.35 states/eV/atom
**Space group**: No. 166
**Crystal system**: trigonal
**Formation energy (no corrections)**: -2.05 eV per atom

a = 7.865 Å, b = 7.960 Å, c = 7.865 Å
α = 119.60°, β = 120.00°, γ = 90.00°
Positions (direct):
Ca1 0.500 0.000 0.000
Ca2 0.500 0.000 0.500
Ca3 0.000 0.000 0.000
Ca4 0.000 0.000 0.500
Y1 0.500 0.500 0.000
Y2 0.500 0.500 0.500
Y3 0.000 0.500 0.500
Tm1 0.000 0.500 0.000
S1 0.246 0.743 0.997
S2 0.246 0.743 0.492
S3 0.251 0.254 0.503
S4 0.751 0.743 0.997
S5 0.249 0.257 0.003
S6 0.749 0.746 0.497
S7 0.754 0.257 0.508
S8 0.754 0.257 0.003

=====

Ca3Y3TmS8: relaxed, GGA-PBE.

Computed properties:
**DOS at the Fermi energy**: 0.29 states/eV/atom
**Space group**: No. 166
**Crystal system**: trigonal
**Formation energy (no corrections)**: -2.10 eV per atom

a = 7.872 Å, b = 7.872 Å, c = 7.974 Å
α = 119.58°, β = 90.00°, γ = 120.00°
Positions (direct):
Ca1 0.000 0.000 0.000
Ca2 0.000 0.500 0.000
Ca3 0.500 0.500 0.000
Y1 0.500 0.000 0.500
Y2 0.500 0.500 0.500
Y3 0.000 0.500 0.500
Tm1 0.000 0.000 0.500
S1 0.252 0.503 0.255
S2 0.748 0.497 0.745
S3 0.757 0.515 0.263
S4 0.243 0.485 0.737
S5 0.757 0.006 0.263
S6 0.243 0.994 0.737
S7 0.249 0.006 0.263
S8 0.751 0.994 0.737

=====

CaY2TmS4: relaxed, GGA-PBE.

Computed properties:
**DOS at the Fermi energy**: 0.32 states/eV/atom
**Space group**: No. 10
**Crystal system**: monoclinic
**Formation energy (no corrections)**: -2.01 eV per atom

a = 3.903 Å, b = 6.782 Å, c = 6.800 Å
α = 109.16°, β = 90.00°, γ = 90.00°
Positions (direct):
Ca1 0.000 0.000 0.000
Y1 0.500 0.000 0.500
Y2 0.000 0.500 0.500
Tm1 0.500 0.500 0.000
S1 0.500 0.254 0.249
S2 0.500 0.746 0.751
S3 0.000 0.255 0.755
S4 0.000 0.745 0.245

=====

CaYTm4S8: relaxed, GGA-PBE.

Computed properties:
**DOS at the Fermi energy**: 0.24 states/eV/atom
**Space group**: No. 160
**Crystal system**: trigonal
**Formation energy (no corrections)**: -2.00 eV per atom

a = 7.999 Å, b = 7.999 Å, c = 8.023 Å
α = 60.10°, β = 60.10°, γ = 60.00°
Positions (direct):
Ca1 0.374 0.374 0.877
Y1 0.002 0.002 0.994
Tm1 0.625 0.625 0.124
Tm2 0.002 0.494 0.502
Tm3 0.494 0.002 0.502
Tm4 0.002 0.002 0.502
S1 0.242 0.782 0.735
S2 0.782 0.242 0.735
S3 0.242 0.242 0.735
S4 0.239 0.239 0.284
S5 0.755 0.228 0.262
S6 0.228 0.755 0.262
S7 0.755 0.755 0.262
S8 0.758 0.758 0.726